No. 1
! GGA-PBE Er3Th3In2Tc, relaxed; values from VASP
! * SG: P-62m, No. 189
! * energy of formation: -0.268 eV per atom
&SYSTEM
  ibrav = 0, nat = 9, ntyp = 4
/
ATOMIC_SPECIES
Tc 98.00 Tc.upf
Er 167.26 Er.upf
Th 232.04 Th.upf
In 114.82 In.upf
CELL_PARAMETERS angstrom
-0.7201 2.7350 -2.5412
-8.2714 0.4508 2.8290
6.1590 5.0262 3.6642
ATOMIC_POSITIONS crystal
Tc 0.0000 0.0000 0.0000
Er 0.0000 0.3960 0.0000
Th 0.5000 0.7532 0.0000
Th 0.5000 0.2468 0.2468
Er 0.0000 0.6040 0.6040
Th 0.5000 0.0000 0.7532
In 0.5000 0.6667 0.3333
In 0.5000 0.3333 0.6667
Er 0.0000 0.0000 0.3960



No. 2
! GGA-PBE Rb2TcAgBr6, relaxed; values from VASP
! * SG: R-3m, No. 166
! * ΔE_f (raw): -0.872 eV/atom
&SYSTEM
  ibrav = 0, nat = 20, ntyp = 4
/
ATOMIC_SPECIES
Br 79.90 Br.upf
Tc 98.00 Tc.upf
Ag 107.87 Ag.upf
Rb 85.47 Rb.upf
CELL_PARAMETERS angstrom
-0.5571 -5.6934 5.0060
6.2235 -3.8090 2.1321
3.7131 5.3479 12.2670
ATOMIC_POSITIONS crystal
Br 0.8032 0.2791 0.1145
Br 0.8586 0.3770 0.3873
Br 0.2791 0.8032 0.1145
Tc 0.5000 0.5000 0.5000
Ag 0.5857 0.5857 0.2430
Br 0.1414 0.6230 0.6127
Ag 0.4143 0.4143 0.7570
Br 0.7209 0.1968 0.8855
Br 0.3770 0.3770 0.3873
Rb 0.1241 0.1241 0.6278
Rb 0.8759 0.8759 0.3722
Br 0.6230 0.6230 0.6127
Br 0.1968 0.1968 0.8855
Br 0.6230 0.1414 0.6127
Br 0.3770 0.8586 0.3873
Br 0.8032 0.8032 0.1145
Tc 0.0000 0.0000 0.0000
Rb 0.7007 0.7007 0.8980
Br 0.1968 0.7209 0.8855
Rb 0.2993 0.2993 0.1020



No. 3
! GGA-PBE CaPmTcO6, relaxed; values from VASP
! * SG: P312, No. 149
! * ΔE_f (raw): -2.239 eV/atom
&SYSTEM
  ibrav = 0, nat = 9, ntyp = 4
/
ATOMIC_SPECIES
Tc 98.00 Tc.upf
O 16.00 O.upf
Pm 145.00 Pm.upf
Ca 40.08 Ca.upf
CELL_PARAMETERS angstrom
-0.3150 3.3377 4.3839
-4.9133 1.1943 2.2117
0.3987 -3.8709 2.9758
ATOMIC_POSITIONS crystal
Tc 0.3333 0.3333 0.5000
O 0.3226 0.6223 0.2780
O 0.0550 0.6223 0.7220
O 0.6223 0.0551 0.2780
O 0.6223 0.3226 0.7220
O 0.3226 0.0551 0.7220
Pm 0.0000 0.0000 0.0000
Ca 0.6666 0.6667 0.5000
O 0.0551 0.3226 0.2780



No. 4
! GGA-PBE Te2RuRh2, relaxed; values from VASP
! * SG: P4/mbm, No. 127
! * ΔE_f (raw): 0.190 eV/atom
&SYSTEM
  ibrav = 0, nat = 10, ntyp = 3
/
ATOMIC_SPECIES
Te 127.60 Te.upf
Ru 101.07 Ru.upf
Rh 102.91 Rh.upf
CELL_PARAMETERS angstrom
7.2479 0.0000 0.0000
0.0000 7.2479 0.0000
0.0000 0.0000 3.4475
ATOMIC_POSITIONS crystal
Te 0.1631 0.3369 0.0000
Te 0.6631 0.1631 0.0000
Ru 0.5000 0.5000 0.0000
Rh 0.3607 0.1393 0.5000
Te 0.8369 0.6631 0.0000
Rh 0.1393 0.6393 0.5000
Rh 0.8607 0.3607 0.5000
Rh 0.6393 0.8607 0.5000
Ru 0.0000 0.0000 0.0000
Te 0.3369 0.8369 0.0000



No. 5
! GGA-PBE V5Re4Ni, relaxed; values from VASP
! * SG: P4/mmm, No. 123
! * energy of formation: -0.283 eV per atom
&SYSTEM
  ibrav = 0, nat = 10, ntyp = 3
/
ATOMIC_SPECIES
V 50.94 V.upf
Re 186.21 Re.upf
Ni 58.69 Ni.upf
CELL_PARAMETERS angstrom
-0.0420 -0.8733 2.9189
1.9180 -2.2757 -0.6533
11.5014 8.8829 2.8229
ATOMIC_POSITIONS crystal
V 0.5000 0.5000 0.7044
Re 0.0000 0.0000 0.3974
V 0.5000 0.5000 0.2956
Ni 0.0000 0.0000 0.0000
V 0.5000 0.5000 0.9062
Re 0.0000 0.0000 0.8087
Re 0.0000 0.0000 0.6026
V 0.5000 0.5000 0.5000
V 0.5000 0.5000 0.0938
Re 0.0000 0.0000 0.1913



No. 6
! GGA-PBE HfSc2BPb, relaxed; values from VASP
! * SG: P4/mmm, No. 123
! * energy of formation: -0.442 eV per atom
&SYSTEM
  ibrav = 0, nat = 5, ntyp = 4
/
ATOMIC_SPECIES
Sc 44.96 Sc.upf
B 10.81 B.upf
Pb 207.20 Pb.upf
Hf 178.49 Hf.upf
CELL_PARAMETERS angstrom
4.6611 0.0000 0.0000
0.0000 4.6611 0.0000
0.0000 0.0000 4.6449
ATOMIC_POSITIONS crystal
Sc 0.0000 0.5000 0.0000
B 0.0000 0.0000 0.0000
Sc 0.5000 0.0000 0.0000
Pb 0.5000 0.5000 0.5000
Hf 0.0000 0.0000 0.5000



| no. | calculated volume (A^3/atom) |
| --- | --- |
| 1 | 28.03 |
| 2 | 32.97 |
| 3 | 14.36 |
| 4 | 18.11 |
| 5 | 13.74 |
| 6 | 20.18 |